Co2BTeO | PBE with a Hubbard U | relaxed

Unit cell a=3.790 b=3.790 c=4.831 alpha=90.00 beta=90.00 gamma=90.00
Positions (direct):
Co (0.000, 0.500, 0.000)
Co (0.500, 0.000, 0.000)
B (0.000, 0.000, 0.000)
Te (0.000, 0.000, 0.500)
O (0.500, 0.500, 0.500)

Results
- electronic total energy (eV/atom) = -4.19
- symmetry = P4/mmm (123)
- calculated volume (Å³ per atom) = 13.876